1.
# PBE Mg2Nb2Cl, relaxed
# - ΔE to the lowest computed polymorph (eV/atom) = 0.000
data_Mg2Nb2Cl
_chemical_formula_sum 'Mg4 Nb4 Cl2'
_cell_length_a 3.680
_cell_length_b 3.680
_cell_length_c 17.521
_cell_angle_alpha 90.00
_cell_angle_beta 90.00
_cell_angle_gamma 90.00
_symmetry_space_group_name_H-M 'I 4/m m m'
_symmetry_Int_Tables_number 139
_symmetry_space_group_name_Hall '-I 4 2'
loop_
_atom_site_label
_atom_site_fract_x
_atom_site_fract_y
_atom_site_fract_z
_atom_site_occupancy
Mg1 0.000 0.000 0.112 1
Nb1 0.000 0.500 0.250 1
Cl1 0.000 0.000 0.500 1

2.
# PBE Cd2Pb3Au4, relaxed
# - energy of formation (eV/atom) = -0.07
data_Cd2Pb3Au4
_chemical_formula_sum 'Cd4 Pb6 Au8'
_cell_length_a 10.996
_cell_length_b 4.573
_cell_length_c 8.879
_cell_angle_alpha 90.00
_cell_angle_beta 99.55
_cell_angle_gamma 90.00
_symmetry_space_group_name_H-M 'C 1 2/m 1'
_symmetry_Int_Tables_number 12
loop_
_symmetry_equiv_pos_as_xyz
'x,y,z'
'-x,-y,-z'
'-x,y,-z'
'x,-y,z'
'x+1/2,y+1/2,z'
'-x+1/2,-y+1/2,-z'
'-x+1/2,y+1/2,-z'
'x+1/2,-y+1/2,z'
loop_
_atom_site_label
_atom_site_fract_x
_atom_site_fract_y
_atom_site_fract_z
_atom_site_occupancy
Cd1 0.186 0.000 0.257 1
Pb1 0.000 0.500 0.500 1
Pb2 0.133 0.000 0.891 1
Au1 0.042 0.500 0.162 1
Au2 0.204 0.000 0.582 1

3.
# PBE SbH2Pd9Pb3, relaxed
# - calculated total energy (eV/atom) = -4.797
data_SbH2Pd9Pb3
_chemical_formula_sum 'Sb1 H2 Pd9 Pb3'
_cell_length_a 5.8003
_cell_length_b 5.8003
_cell_length_c 8.8413
_cell_angle_alpha 90.00
_cell_angle_beta 90.00
_cell_angle_gamma 120.00
_symmetry_space_group_name_H-M 'P -3 m 1'
_symmetry_Int_Tables_number 164
_symmetry_space_group_name_Hall '-P 3 2"'
loop_
_atom_site_label
_atom_site_fract_x
_atom_site_fract_y
_atom_site_fract_z
_atom_site_occupancy
Sb1 0.0000 0.0000 0.0000 1
H1 0.3333 0.6667 0.6084 1
Pd1 0.0000 0.5000 0.5000 1
Pd2 0.1698 0.3397 0.7707 1
Pb1 0.0000 0.0000 0.5000 1
Pb2 0.3333 0.6667 0.1839 1

4.
# PBE CePm2Bi, relaxed
# - energy of formation (eV/atom) = -0.35
# - ΔE to the lowest computed polymorph (eV/atom) = 0.031
data_CePm2Bi
_chemical_formula_sum 'Ce2 Pm4 Bi2'
_cell_length_a 4.749
_cell_length_b 4.684
_cell_length_c 12.147
_cell_angle_alpha 90.00
_cell_angle_beta 101.28
_cell_angle_gamma 90.00
_symmetry_space_group_name_H-M 'P 1 21/m 1'
_symmetry_Int_Tables_number 11
loop_
_symmetry_equiv_pos_as_xyz
'x,y,z'
'-x,-y,-z'
'-x,y+1/2,-z'
'x,-y+1/2,z'
loop_
_atom_site_label
_atom_site_fract_x
_atom_site_fract_y
_atom_site_fract_z
_atom_site_occupancy
Ce1 0.195 0.250 0.389 1
Pm1 0.063 0.750 0.126 1
Pm2 0.441 0.750 0.883 1
Bi1 0.333 0.250 0.666 1

5.
# PBE La2NiHPd, relaxed
# - ΔE to the lowest computed polymorph (eV/atom) = 0.000
data_La2NiHPd
_chemical_formula_sum 'La2 Ni1 H1 Pd1'
_cell_length_a 5.197
_cell_length_b 5.197
_cell_length_c 3.592
_cell_angle_alpha 90.00
_cell_angle_beta 90.00
_cell_angle_gamma 90.00
_symmetry_space_group_name_H-M 'P 4/m m m'
_symmetry_Int_Tables_number 123
_symmetry_space_group_name_Hall '-P 4 2'
loop_
_atom_site_label
_atom_site_fract_x
_atom_site_fract_y
_atom_site_fract_z
_atom_site_occupancy
La1 0.000 0.500 0.000 1
Ni1 0.000 0.000 0.500 1
H1 0.000 0.000 0.000 1
Pd1 0.500 0.500 0.500 1

6.
# PBE Rb2VAgBr6, relaxed
# - calculated total energy (eV/atom) = -3.487
data_Rb2VAgBr6
_chemical_formula_sum 'Rb8 V4 Ag4 Br24'
_cell_length_a 10.837
_cell_length_b 10.837
_cell_length_c 10.837
_cell_angle_alpha 90.00
_cell_angle_beta 90.00
_cell_angle_gamma 90.00
_symmetry_space_group_name_H-M 'F m -3 m'
_symmetry_Int_Tables_number 225
_symmetry_space_group_name_Hall '-F 4 2 3'
loop_
_atom_site_label
_atom_site_fract_x
_atom_site_fract_y
_atom_site_fract_z
_atom_site_occupancy
Rb1 0.250 0.250 0.250 1
V1 0.000 0.000 0.000 1
Ag1 0.000 0.000 0.500 1
Br1 0.000 0.000 0.237 1

7.
# PBE Pu2NbCrN5, relaxed
# - calculated total energy (eV/atom) = -10.984
data_Pu2NbCrN5
_chemical_formula_sum 'Pu8 Nb4 Cr4 N20'
_cell_length_a 3.231
_cell_length_b 13.007
_cell_length_c 10.010
_cell_angle_alpha 90.00
_cell_angle_beta 90.00
_cell_angle_gamma 90.00
_symmetry_space_group_name_H-M 'C m c 21'
_symmetry_Int_Tables_number 36
loop_
_symmetry_equiv_pos_as_xyz
'x,y,z'
'-x,-y,z+1/2'
'-x,y,z'
'x,-y,z+1/2'
'x+1/2,y+1/2,z'
'-x+1/2,-y+1/2,z+1/2'
'-x+1/2,y+1/2,z'
'x+1/2,-y+1/2,z+1/2'
loop_
_atom_site_label
_atom_site_fract_x
_atom_site_fract_y
_atom_site_fract_z
_atom_site_occupancy
Pu1 0.000 0.108 0.000 1
Pu2 0.000 0.145 0.608 1
Nb1 0.000 0.211 0.316 1
Cr1 0.000 0.478 0.769 1
N1 0.000 0.045 0.358 1
N2 0.000 0.285 0.963 1
N3 0.000 0.324 0.675 1
N4 0.000 0.370 0.306 1
N5 0.000 0.488 0.091 1

8.
# PBE CaPHRu, relaxed
# - calculated total energy (eV/atom) = -5.836
data_CaPHRu
_chemical_formula_sum 'Ca2 P2 H2 Ru2'
_cell_length_a 3.997
_cell_length_b 3.997
_cell_length_c 7.701
_cell_angle_alpha 90.00
_cell_angle_beta 90.00
_cell_angle_gamma 90.00
_symmetry_space_group_name_H-M 'P 4/n m m'
_symmetry_Int_Tables_number 129
loop_
_symmetry_equiv_pos_as_xyz
'x,y,z'
'-x,-y,-z'
'-y+1/2,x,z'
'y+1/2,-x,-z'
'-x+1/2,-y+1/2,z'
'x+1/2,y+1/2,-z'
'y,-x+1/2,z'
'-y,x+1/2,-z'
'x+1/2,-y,-z'
'-x+1/2,y,z'
'-y,-x,-z'
'y,x,z'
'-x,y+1/2,-z'
'x,-y+1/2,z'
'y+1/2,x+1/2,-z'
'-y+1/2,-x+1/2,z'
loop_
_atom_site_label
_atom_site_fract_x
_atom_site_fract_y
_atom_site_fract_z
_atom_site_occupancy
Ca1 0.250 0.250 0.150 1
P1 0.250 0.250 0.657 1
H1 0.250 0.750 0.000 1
Ru1 0.250 0.750 0.500 1

9.
# PBE HfCd2Pt2, relaxed
# - energy of formation (eV/atom) = -0.28
# - ΔE to the lowest computed polymorph (eV/atom) = 0.173
data_HfCd2Pt2
_chemical_formula_sum 'Hf2 Cd4 Pt4'
_cell_length_a 7.971
_cell_length_b 7.971
_cell_length_c 2.944
_cell_angle_alpha 90.00
_cell_angle_beta 90.00
_cell_angle_gamma 90.00
_symmetry_space_group_name_H-M 'P 4/m b m'
_symmetry_Int_Tables_number 127
_symmetry_space_group_name_Hall '-P 4 2ab'
loop_
_atom_site_label
_atom_site_fract_x
_atom_site_fract_y
_atom_site_fract_z
_atom_site_occupancy
Hf1 0.000 0.000 0.000 1
Cd1 0.122 0.378 0.000 1
Pt1 0.179 0.679 0.500 1

10.
# PBE ReHgSCl2, relaxed
# - ΔE to the lowest computed polymorph (eV/atom) = 1.121
data_ReHgSCl2
_chemical_formula_sum 'Re1 Hg1 S1 Cl2'
_cell_length_a 5.130
_cell_length_b 5.130
_cell_length_c 5.188
_cell_angle_alpha 90.00
_cell_angle_beta 90.00
_cell_angle_gamma 90.00
_symmetry_space_group_name_H-M 'P 4/m m m'
_symmetry_Int_Tables_number 123
_symmetry_space_group_name_Hall '-P 4 2'
loop_
_atom_site_label
_atom_site_fract_x
_atom_site_fract_y
_atom_site_fract_z
_atom_site_occupancy
Re1 0.000 0.000 0.000 1
Hg1 0.500 0.500 0.500 1
S1 0.500 0.500 0.000 1
Cl1 0.000 0.500 0.500 1

11.
# PBE Te2IrCl, relaxed
# - ΔE to the lowest computed polymorph (eV/atom) = 0.000
data_Te2IrCl
_chemical_formula_sum 'Te2 Ir1 Cl1'
_cell_length_a 4.111
_cell_length_b 4.111
_cell_length_c 8.886
_cell_angle_alpha 102.66
_cell_angle_beta 90.40
_cell_angle_gamma 119.96
_symmetry_space_group_name_H-M 'P 1'
_symmetry_Int_Tables_number 1
loop_
_symmetry_equiv_pos_as_xyz
'x,y,z'
loop_
_atom_site_label
_atom_site_fract_x
_atom_site_fract_y
_atom_site_fract_z
_atom_site_occupancy
Te1 0.000 0.000 0.000 1
Te2 0.236 0.481 0.710 1
Ir1 0.625 0.253 0.875 1
Cl1 0.094 0.182 0.281 1

12.
# PBE LaYRu2, relaxed
# - energy of formation (eV/atom) = 0.12
data_LaYRu2
_chemical_formula_sum 'La1 Y1 Ru2'
_cell_length_a 4.678
_cell_length_b 3.453
_cell_length_c 5.771
_cell_angle_alpha 90.00
_cell_angle_beta 109.76
_cell_angle_gamma 90.00
_symmetry_space_group_name_H-M 'P 1 2/m 1'
_symmetry_Int_Tables_number 10
loop_
_symmetry_equiv_pos_as_xyz
'x,y,z'
'-x,-y,-z'
'-x,y,-z'
'x,-y,z'
loop_
_atom_site_label
_atom_site_fract_x
_atom_site_fract_y
_atom_site_fract_z
_atom_site_occupancy
La1 0.000 0.000 0.000 1
Y1 0.500 0.500 0.500 1
Ru1 0.000 0.000 0.500 1
Ru2 0.500 0.500 0.000 1

13.
# PBE AcHoLuSc, relaxed
# - energy of formation (eV/atom) = 0.11
data_AcHoLuSc
_chemical_formula_sum 'Ac4 Ho4 Lu4 Sc4'
_cell_length_a 8.006
_cell_length_b 8.006
_cell_length_c 8.006
_cell_angle_alpha 90.00
_cell_angle_beta 90.00
_cell_angle_gamma 90.00
_symmetry_space_group_name_H-M 'F -4 3 m'
_symmetry_Int_Tables_number 216
_symmetry_space_group_name_Hall 'F -4 2 3'
loop_
_atom_site_label
_atom_site_fract_x
_atom_site_fract_y
_atom_site_fract_z
_atom_site_occupancy
Ac1 0.000 0.000 0.000 1
Ho1 0.000 0.000 0.500 1
Lu1 0.250 0.250 0.750 1
Sc1 0.250 0.250 0.250 1

14.
# PBE Li4Mg2In3, relaxed
# - energy of formation (eV/atom) = -0.20
# - ΔE to the lowest computed polymorph (eV/atom) = 0.000
data_Li4Mg2In3
_chemical_formula_sum 'Li8 Mg4 In6'
_cell_length_a 13.326
_cell_length_b 4.537
_cell_length_c 6.493
_cell_angle_alpha 90.00
_cell_angle_beta 110.76
_cell_angle_gamma 90.00
_symmetry_space_group_name_H-M 'C 1 2/m 1'
_symmetry_Int_Tables_number 12
loop_
_symmetry_equiv_pos_as_xyz
'x,y,z'
'-x,-y,-z'
'-x,y,-z'
'x,-y,z'
'x+1/2,y+1/2,z'
'-x+1/2,-y+1/2,-z'
'-x+1/2,y+1/2,-z'
'x+1/2,-y+1/2,z'
loop_
_atom_site_label
_atom_site_fract_x
_atom_site_fract_y
_atom_site_fract_z
_atom_site_occupancy
Li1 0.051 0.000 0.341 1
Li2 0.230 0.500 0.335 1
Mg1 0.159 0.000 0.000 1
In1 0.000 0.500 0.000 1
In2 0.118 0.500 0.650 1

15.
# PBE Na3Zr2MnTe6, relaxed
# - calculated total energy (eV/atom) = -4.864
data_Na3Zr2MnTe6
_chemical_formula_sum 'Na6 Zr4 Mn2 Te12'
_cell_length_a 7.240
_cell_length_b 12.531
_cell_length_c 7.989
_cell_angle_alpha 90.00
_cell_angle_beta 107.60
_cell_angle_gamma 90.00
_symmetry_space_group_name_H-M 'C 1 2/m 1'
_symmetry_Int_Tables_number 12
loop_
_symmetry_equiv_pos_as_xyz
'x,y,z'
'-x,-y,-z'
'-x,y,-z'
'x,-y,z'
'x+1/2,y+1/2,z'
'-x+1/2,-y+1/2,-z'
'-x+1/2,y+1/2,-z'
'x+1/2,-y+1/2,z'
loop_
_atom_site_label
_atom_site_fract_x
_atom_site_fract_y
_atom_site_fract_z
_atom_site_occupancy
Na1 0.000 0.000 0.000 1
Na2 0.000 0.330 0.000 1
Zr1 0.000 0.165 0.500 1
Mn1 0.000 0.500 0.500 1
Te1 0.237 0.335 0.719 1
Te2 0.245 0.000 0.722 1

16.
# PBE AcNdIn, relaxed
# - energy of formation (eV/atom) = -0.22
# - ΔE to the lowest computed polymorph (eV/atom) = 0.087
data_AcNdIn
_chemical_formula_sum 'Ac2 Nd2 In2'
_cell_length_a 5.4768
_cell_length_b 5.4768
_cell_length_c 7.9762
_cell_angle_alpha 90.00
_cell_angle_beta 90.00
_cell_angle_gamma 120.00
_symmetry_space_group_name_H-M 'P -3 m 1'
_symmetry_Int_Tables_number 164
_symmetry_space_group_name_Hall '-P 3 2"'
loop_
_atom_site_label
_atom_site_fract_x
_atom_site_fract_y
_atom_site_fract_z
_atom_site_occupancy
Ac1 0.3333 0.6667 0.3846 1
Nd1 0.3333 0.6667 0.8999 1
In1 0.0000 0.0000 0.2050 1

17.
# PBE Cr2Ir2Pt, relaxed
# - energy of formation (eV/atom) = -0.08
# - ΔE to the lowest computed polymorph (eV/atom) = 0.000
data_Cr2Ir2Pt
_chemical_formula_sum 'Cr4 Ir4 Pt2'
_cell_length_a 7.241
_cell_length_b 7.241
_cell_length_c 2.699
_cell_angle_alpha 90.00
_cell_angle_beta 90.00
_cell_angle_gamma 90.00
_symmetry_space_group_name_H-M 'P 4/m b m'
_symmetry_Int_Tables_number 127
_symmetry_space_group_name_Hall '-P 4 2ab'
loop_
_atom_site_label
_atom_site_fract_x
_atom_site_fract_y
_atom_site_fract_z
_atom_site_occupancy
Cr1 0.165 0.335 0.000 1
Ir1 0.130 0.630 0.500 1
Pt1 0.000 0.000 0.500 1

Number 1: calculated volume 23.73 A^3/atom. Number 2: calculated volume 24.46 A^3/atom. Number 3: calculated volume 17.17 A^3/atom. Number 4: calculated volume 33.12 A^3/atom. Number 5: calculated volume 19.41 A^3/atom. Number 6: calculated volume 31.82 A^3/atom. Number 7: calculated volume 11.69 A^3/atom. Number 8: calculated volume 15.38 A^3/atom. Number 9: calculated volume 18.71 A^3/atom. Number 10: calculated volume 27.30 A^3/atom. Number 11: calculated volume 31.43 A^3/atom. Number 12: calculated volume 21.93 A^3/atom. Number 13: calculated volume 32.07 A^3/atom. Number 14: calculated volume 20.39 A^3/atom. Number 15: calculated volume 28.79 A^3/atom. Number 16: calculated volume 34.53 A^3/atom. Number 17: calculated volume 14.15 A^3/atom.